Record 1
First-principles (PBE) data for crystalline GaBiS4 at its relaxed geometry, as listed in Alexandria via LeMat-Bulk.

Structure (extended XYZ):
```
12
Lattice="4.3652 -3.7708 0.0000 4.3652 3.7708 0.0000 0.0000 0.0000 8.8256" Properties=species:S:1:pos:R:3 pbc="T T T"
Ga 4.3652 3.3543 6.6192
Ga 4.3652 -3.3543 2.2064
Bi 4.3652 0.1442 2.2064
Bi 4.3652 -0.1442 6.6192
S 1.7857 1.0046 6.6192
S 4.3652 1.8725 4.8169
S 4.3652 1.8725 8.4215
S 1.7857 -1.0046 2.2064
S 6.9446 1.0046 6.6192
S 4.3652 -1.8725 0.4041
S 4.3652 -1.8725 4.0087
S 6.9446 -1.0046 2.2064
```

Computed properties:
space group = Cmcm, No. 63
energy = -3.93 eV/atom

Record 2
First-principles (PBE) data for crystalline Ga3BiS at its relaxed geometry, as listed in Alexandria via LeMat-Bulk.

Structure (extended XYZ):
```
5
Lattice="5.5432 0.0000 0.0000 0.0000 5.5432 0.0000 0.0000 0.0000 5.5432" Properties=species:S:1:pos:R:3 pbc="T T T"
Ga 0.0000 0.0000 2.7716
Ga 0.0000 2.7716 0.0000
Ga 2.7716 0.0000 0.0000
Bi 0.0000 0.0000 0.0000
S 2.7716 2.7716 2.7716
```

Computed properties:
space group = Pm-3m, No. 221
energy relative to the lowest polymorph listed for this composition = 0.4902 eV/atom

Record 3
First-principles (PBE) data for crystalline Ga2Bi2S at its relaxed geometry, as listed in Alexandria via LeMat-Bulk.

Structure (extended XYZ):
```
10
Lattice="7.9020 0.0000 0.0000 0.0000 7.9020 0.0000 0.0000 0.0000 4.2102" Properties=species:S:1:pos:R:3 pbc="T T T"
Ga 0.9315 3.0195 0.0000
Ga 3.0195 6.9705 0.0000
Ga 4.8825 0.9315 0.0000
Ga 6.9705 4.8825 0.0000
Bi 1.5121 5.4631 2.1051
Bi 2.4389 1.5121 2.1051
Bi 5.4631 6.3899 2.1051
Bi 6.3899 2.4389 2.1051
S 0.0000 0.0000 2.1051
S 3.9510 3.9510 2.1051
```

Computed properties:
space group = P4/mbm, No. 127
energy relative to the lowest polymorph listed for this composition = 0.1012 eV/atom